A plane-wave DFT calculation with PBE-GGA was carried out for crystalline Ac2Sb4Rh3Au at its relaxed geometry.

## Properties
* formation energy (no corrections): -7.95 eV per formula unit
* space-group type: P-4m2
* total magnetic moment: 0.00 μB/cell
* volume: 235.6 Å³/cell

```
Ac2Sb4Rh3Au
1.0
4.7203 0.0000 0.0000
0.0000 4.7203 0.0000
0.0000 0.0000 10.5741
Ac Sb Rh Au
2 4 3 1
direct
0.0000 0.5000 0.2467 Ac
0.5000 0.0000 0.7533 Ac
0.0000 0.0000 0.5000 Sb
0.0000 0.5000 0.8638 Sb
0.5000 0.0000 0.1362 Sb
0.5000 0.5000 0.5000 Sb
0.0000 0.0000 0.0000 Rh
0.0000 0.5000 0.6161 Rh
0.5000 0.0000 0.3839 Rh
0.5000 0.5000 0.0000 Au
```